# HfIn3F9 (PBE, optimized geometry)
data_HfIn3F9
_chemical_formula_sum 'Hf4 In12 F36'
_cell_length_a 14.586
_cell_length_b 6.763
_cell_length_c 11.142
_cell_angle_alpha 90.00
_cell_angle_beta 108.15
_cell_angle_gamma 90.00
_space_group_name_H-M_alt 'C 1 c 1'
_space_group_IT_number 9
_space_group_name_Hall 'C -2yc'
loop_
_atom_site_label
_atom_site_type_symbol
_atom_site_fract_x
_atom_site_fract_y
_atom_site_fract_z
_atom_site_occupancy
Hf1 Hf 0.000 0.186 0.000 1
In1 In 0.171 0.374 0.792 1
In2 In 0.284 0.090 0.214 1
In3 In 0.310 0.497 0.174 1
F1 F 0.053 0.381 0.136 1
F2 F 0.054 0.311 0.868 1
F3 F 0.126 0.041 0.061 1
F4 F 0.207 0.054 0.821 1
F5 F 0.232 0.489 0.478 1
F6 F 0.337 0.187 0.675 1
F7 F 0.389 0.131 0.424 1
F8 F 0.434 0.492 0.859 1
F9 F 0.439 0.482 0.604 1
# formation energy (no corrections)	-264.6	kJ per mole of atoms
# D(E_F)	0.00	states/eV/cell
# ρ	4.41	g cm⁻³
# VASP energy	-5.436	eV per atom

# Rb2BaTcOs (PBE, optimized geometry)
data_Rb2BaTcOs
_chemical_formula_sum 'Rb2 Ba1 Tc1 Os1'
_cell_length_a 6.236
_cell_length_b 6.236
_cell_length_c 5.571
_cell_angle_alpha 90.00
_cell_angle_beta 90.00
_cell_angle_gamma 90.00
_space_group_name_H-M_alt 'P 4/m m m'
_space_group_IT_number 123
_space_group_name_Hall '-P 4 2'
loop_
_atom_site_label
_atom_site_type_symbol
_atom_site_fract_x
_atom_site_fract_y
_atom_site_fract_z
_atom_site_occupancy
Rb1 Rb 0.000 0.500 0.000 1
Ba1 Ba 0.000 0.000 0.500 1
Tc1 Tc 0.000 0.000 0.000 1
Os1 Os 0.500 0.500 0.500 1
# D(E_F)	5.03	states/eV/cell
# ρ	4.57	g cm⁻³
# calculated formation energy	2.062	eV/atom
# VASP energy	-3.028	eV per atom

# U2CdO8 (PBE, optimized geometry)
data_U2CdO8
_chemical_formula_sum 'U4 Cd2 O16'
_cell_length_a 6.666
_cell_length_b 10.102
_cell_length_c 4.106
_cell_angle_alpha 90.00
_cell_angle_beta 94.17
_cell_angle_gamma 90.00
_space_group_name_H-M_alt 'C 1 2/m 1'
_space_group_IT_number 12
_space_group_name_Hall '-C 2y'
loop_
_atom_site_label
_atom_site_type_symbol
_atom_site_fract_x
_atom_site_fract_y
_atom_site_fract_z
_atom_site_occupancy
U1 U 0.000 0.197 0.000 1
Cd1 Cd 0.000 0.500 0.500 1
O1 O 0.000 0.266 0.500 1
O2 O 0.062 0.000 0.364 1
O3 O 0.213 0.370 0.037 1
# formation energy (no corrections)	-213.8	kJ per mole of atoms
# ρ	8.63	g cm⁻³
# VASP energy	-7.957	eV per atom

# AlAs2SeF (PBE, optimized geometry)
data_AlAs2SeF
_chemical_formula_sum 'Al1 As2 Se1 F1'
_cell_length_a 4.826
_cell_length_b 4.826
_cell_length_c 4.747
_cell_angle_alpha 90.00
_cell_angle_beta 90.00
_cell_angle_gamma 90.00
_space_group_name_H-M_alt 'P 4/m m m'
_space_group_IT_number 123
_space_group_name_Hall '-P 4 2'
loop_
_atom_site_label
_atom_site_type_symbol
_atom_site_fract_x
_atom_site_fract_y
_atom_site_fract_z
_atom_site_occupancy
Al1 Al 0.000 0.000 0.000 1
As1 As 0.000 0.500 0.000 1
Se1 Se 0.000 0.000 0.500 1
F1 F 0.500 0.500 0.500 1
# formation energy (no corrections)	20.0	kJ per mole of atoms
# D(E_F)	3.15	states/eV/cell
# ρ	4.13	g cm⁻³
# VASP energy	-3.473	eV per atom

# BaLi2AlZn (PBE, optimized geometry)
data_BaLi2AlZn
_chemical_formula_sum 'Ba1 Li2 Al1 Zn1'
_cell_length_a 5.160
_cell_length_b 5.160
_cell_length_c 4.837
_cell_angle_alpha 90.00
_cell_angle_beta 90.00
_cell_angle_gamma 90.00
_space_group_name_H-M_alt 'P 4/m m m'
_space_group_IT_number 123
_space_group_name_Hall '-P 4 2'
loop_
_atom_site_label
_atom_site_type_symbol
_atom_site_fract_x
_atom_site_fract_y
_atom_site_fract_z
_atom_site_occupancy
Ba1 Ba 0.000 0.000 0.000 1
Li1 Li 0.000 0.500 0.500 1
Al1 Al 0.500 0.500 0.000 1
Zn1 Zn 0.500 0.500 0.500 1
# D(E_F)	3.39	states/eV/cell
# ρ	3.14	g cm⁻³
# calculated formation energy	-0.032	eV/atom
# VASP energy	-2.185	eV per atom

# Er4GaOs (PBE, optimized geometry)
data_Er4GaOs
_chemical_formula_sum 'Er16 Ga4 Os4'
_cell_length_a 8.834
_cell_length_b 13.069
_cell_length_c 6.124
_cell_angle_alpha 90.00
_cell_angle_beta 118.56
_cell_angle_gamma 90.00
_space_group_name_H-M_alt 'C 1 2/c 1'
_space_group_IT_number 15
_space_group_name_Hall '-C 2yc'
loop_
_atom_site_label
_atom_site_type_symbol
_atom_site_fract_x
_atom_site_fract_y
_atom_site_fract_z
_atom_site_occupancy
Er1 Er 0.118 0.174 0.081 1
Er2 Er 0.212 0.433 0.307 1
Ga1 Ga 0.000 0.368 0.750 1
Os1 Os 0.000 0.000 0.250 1
# D(E_F)	23.88	states/eV/cell
# ρ	9.94	g cm⁻³
# calculated formation energy	-0.377	eV/atom
# VASP energy	-5.795	eV per atom